# 1
VASP calculation (SCAN) on a PBEsol-optimized structure of MnReRu2.

Summary:
* E_form: 0.021 eV/atom
* polymorph energy (0 for the lowest one): 0.12 eV/f.u.
* DFT total energy: -39.73 eV per atom

Structure (POSCAR):
```
MnReRu2
1.0
-1.728 -1.186 -1.648
0.876 -2.388 0.800
-5.049 -0.063 5.338
Mn Ru Re
1 2 1
direct
0.500 0.500 0.000 Mn
0.000 0.000 0.764 Ru
0.000 0.000 0.236 Ru
0.500 0.500 0.500 Re
```



# 2
VASP calculation (SCAN) on a PBEsol-optimized structure of MnReRu2.

Summary:
* E_form: 0.029 eV/atom
* polymorph energy (0 for the lowest one): 0.15 eV/f.u.
* DFT total energy: -39.72 eV per atom

Structure (POSCAR):
```
MnReRu2
1.0
2.653 0.000 0.000
-1.327 4.374 -0.014
0.000 -0.790 4.509
Re Ru Mn
1 2 1
direct
0.500 0.000 0.000 Re
0.747 0.493 0.741 Ru
0.253 0.507 0.259 Ru
0.000 0.000 0.500 Mn
```



# 3
VASP calculation (SCAN) on a PBEsol-optimized structure of MnRe3Sb.

Summary:
* formation energy without anion corrections: 2.539 eV per atom
* DFT total energy: -51.22 eV per atom

Structure (POSCAR):
```
MnRe3Sb
1.0
-3.432 -0.005 3.308
-2.949 -2.155 -3.063
1.498 -4.252 1.549
Re Sb Mn
3 1 1
direct
0.500 0.000 0.000 Re
0.000 0.000 0.500 Re
0.000 0.500 0.000 Re
0.000 0.000 0.000 Sb
0.500 0.500 0.500 Mn
```



DFT total energy of number 2 (MnReRu2)? -39.72 eV per atom